# 1
# SmInBi2 | Alexandria via LeMat-Bulk | GGA-PBE | relaxed
# polymorph energy (0 for the lowest one): 183.1 meV per atom
# calculated formation energy: -0.250 eV per atom
# uncorrected energy: -4.0554 eV per atom
data_SmInBi2
_chemical_formula_sum 'Sm4 In4 Bi8'
_cell_length_a 7.900
_cell_length_b 7.900
_cell_length_c 7.900
_cell_angle_alpha 90.00
_cell_angle_beta 90.00
_cell_angle_gamma 90.00
_symmetry_space_group_name_H-M 'F m -3 m'
_symmetry_Int_Tables_number 225
_symmetry_space_group_name_Hall '-F 4 2 3'
loop_
_atom_site_label
_atom_site_fract_x
_atom_site_fract_y
_atom_site_fract_z
Sm1 0.000 0.000 0.000
In1 0.000 0.000 0.500
Bi1 0.250 0.250 0.250

# 2
# KMgCl3 | Alexandria via LeMat-Bulk | GGA-PBE | relaxed
# uncorrected energy: -3.5436 eV per atom
# raw formation energy: -1.8972 eV/atom
data_KMgCl3
_chemical_formula_sum 'K4 Mg4 Cl12'
_cell_length_a 7.085
_cell_length_b 10.010
_cell_length_c 7.020
_cell_angle_alpha 90.00
_cell_angle_beta 90.00
_cell_angle_gamma 90.00
_symmetry_space_group_name_H-M 'P n m a'
_symmetry_Int_Tables_number 62
loop_
_symmetry_equiv_pos_as_xyz
'x,y,z'
'-x,-y,-z'
'-x+1/2,-y,z+1/2'
'x+1/2,y,-z+1/2'
'x+1/2,-y+1/2,-z+1/2'
'-x+1/2,y+1/2,z+1/2'
'-x,y+1/2,-z'
'x,-y+1/2,z'
loop_
_atom_site_label
_atom_site_fract_x
_atom_site_fract_y
_atom_site_fract_z
K1 0.039 0.250 0.008
Mg1 0.000 0.000 0.500
Cl1 0.006 0.750 0.445
Cl2 0.213 0.528 0.788

# 3
# BaLiMo2 | Alexandria via LeMat-Bulk | GGA-PBE | relaxed
# polymorph energy (0 for the lowest one): 203.6 meV per atom
# calculated formation energy: 0.776 eV per atom
# uncorrected energy: -5.5989 eV per atom
data_BaLiMo2
_chemical_formula_sum 'Ba2 Li2 Mo4'
_cell_length_a 8.539
_cell_length_b 3.147
_cell_length_c 7.130
_cell_angle_alpha 90.00
_cell_angle_beta 95.13
_cell_angle_gamma 90.00
_symmetry_space_group_name_H-M 'C 1 m 1'
_symmetry_Int_Tables_number 8
loop_
_symmetry_equiv_pos_as_xyz
'x,y,z'
'x,-y,z'
'x+1/2,y+1/2,z'
'x+1/2,-y+1/2,z'
loop_
_atom_site_label
_atom_site_fract_x
_atom_site_fract_y
_atom_site_fract_z
Ba1 0.000 0.000 0.000
Li1 0.253 0.500 0.346
Mo1 0.225 0.000 0.658
Mo2 0.487 0.000 0.557

# 4
# TiZnNiCl | Alexandria via LeMat-Bulk | GGA-PBE | relaxed
# polymorph energy (0 for the lowest one): 297.4 meV per atom
# uncorrected energy: -4.4063 eV per atom
# raw formation energy: -0.2071 eV/atom
data_TiZnNiCl
_chemical_formula_sum 'Ti1 Zn1 Ni1 Cl1'
_cell_length_a 2.996
_cell_length_b 4.526
_cell_length_c 5.660
_cell_angle_alpha 66.44
_cell_angle_beta 74.90
_cell_angle_gamma 70.99
_symmetry_space_group_name_H-M 'P 1'
_symmetry_Int_Tables_number 1
loop_
_symmetry_equiv_pos_as_xyz
'x,y,z'
loop_
_atom_site_label
_atom_site_fract_x
_atom_site_fract_y
_atom_site_fract_z
Ti1 0.000 0.000 0.000
Zn1 0.354 0.630 0.655
Ni1 0.642 0.097 0.620
Cl1 0.668 0.475 0.187

# 5
# Hf2CdHg | Alexandria via LeMat-Bulk | GGA-PBE | relaxed
# polymorph energy (0 for the lowest one): 0.0 meV per atom
# calculated formation energy: -0.079 eV per atom
# uncorrected energy: -5.3597 eV per atom
data_Hf2CdHg
_chemical_formula_sum 'Hf4 Cd2 Hg2'
_cell_length_a 4.370
_cell_length_b 4.394
_cell_length_c 9.065
_cell_angle_alpha 90.00
_cell_angle_beta 90.05
_cell_angle_gamma 90.00
_symmetry_space_group_name_H-M 'P 1 21/m 1'
_symmetry_Int_Tables_number 11
loop_
_symmetry_equiv_pos_as_xyz
'x,y,z'
'-x,-y,-z'
'-x,y+1/2,-z'
'x,-y+1/2,z'
loop_
_atom_site_label
_atom_site_fract_x
_atom_site_fract_y
_atom_site_fract_z
Hf1 0.000 0.250 0.119
Hf2 0.500 0.250 0.881
Cd1 0.000 0.250 0.621
Hg1 0.500 0.250 0.369

# 6
# Ce2PmSb4 | Alexandria via LeMat-Bulk | GGA-PBE | relaxed
# uncorrected energy: -5.5209 eV per atom
# raw formation energy: -0.7912 eV/atom
data_Ce2PmSb4
_chemical_formula_sum 'Ce2 Pm1 Sb4'
_cell_length_a 4.339
_cell_length_b 4.339
_cell_length_c 11.849
_cell_angle_alpha 90.00
_cell_angle_beta 90.00
_cell_angle_gamma 90.00
_symmetry_space_group_name_H-M 'P -4 m 2'
_symmetry_Int_Tables_number 115
loop_
_symmetry_equiv_pos_as_xyz
'x,y,z'
'y,-x,-z'
'-x,-y,z'
'-y,x,-z'
'-x,y,z'
'-y,-x,-z'
'x,-y,z'
'y,x,-z'
loop_
_atom_site_label
_atom_site_fract_x
_atom_site_fract_y
_atom_site_fract_z
Ce1 0.000 0.500 0.209
Pm1 0.000 0.000 0.500
Sb1 0.000 0.000 0.000
Sb2 0.000 0.500 0.690
Sb3 0.500 0.500 0.000

# 7
# NaMgNp2O8 | Alexandria via LeMat-Bulk | GGA-PBE | relaxed
# uncorrected energy: -8.1049 eV per atom
# raw formation energy: -2.3999 eV/atom
data_NaMgNp2O8
_chemical_formula_sum 'Na2 Mg2 Np4 O16'
_cell_length_a 5.217
_cell_length_b 5.217
_cell_length_c 10.322
_cell_angle_alpha 90.00
_cell_angle_beta 90.00
_cell_angle_gamma 90.00
_symmetry_space_group_name_H-M 'I -4'
_symmetry_Int_Tables_number 82
loop_
_symmetry_equiv_pos_as_xyz
'x,y,z'
'y,-x,-z'
'-x,-y,z'
'-y,x,-z'
'x+1/2,y+1/2,z+1/2'
'y+1/2,-x+1/2,-z+1/2'
'-x+1/2,-y+1/2,z+1/2'
'-y+1/2,x+1/2,-z+1/2'
loop_
_atom_site_label
_atom_site_fract_x
_atom_site_fract_y
_atom_site_fract_z
Na1 0.000 0.000 0.000
Mg1 0.000 0.500 0.750
Np1 0.000 0.000 0.500
Np2 0.000 0.500 0.250
O1 0.211 0.736 0.394
O2 0.225 0.763 0.650

# 8
# MnSbTe2 | Alexandria via LeMat-Bulk | GGA-PBE | relaxed
# uncorrected energy: -4.7538 eV per atom
# raw formation energy: 0.1400 eV/atom
data_MnSbTe2
_chemical_formula_sum 'Mn2 Sb2 Te4'
_cell_length_a 3.928
_cell_length_b 4.973
_cell_length_c 10.848
_cell_angle_alpha 90.00
_cell_angle_beta 90.00
_cell_angle_gamma 90.00
_symmetry_space_group_name_H-M 'C m m 2'
_symmetry_Int_Tables_number 35
loop_
_symmetry_equiv_pos_as_xyz
'x,y,z'
'-x,-y,z'
'-x,y,z'
'x,-y,z'
'x+1/2,y+1/2,z'
'-x+1/2,-y+1/2,z'
'-x+1/2,y+1/2,z'
'x+1/2,-y+1/2,z'
loop_
_atom_site_label
_atom_site_fract_x
_atom_site_fract_y
_atom_site_fract_z
Mn1 0.000 0.000 0.000
Sb1 0.000 0.500 0.820
Te1 0.000 0.000 0.508
Te2 0.000 0.500 0.175

# 9
# LaTm2InAu4 | Alexandria via LeMat-Bulk | GGA-PBE | relaxed
# calculated formation energy: -0.739 eV per atom
# uncorrected energy: -4.4533 eV per atom
data_LaTm2InAu4
_chemical_formula_sum 'La3 Tm6 In3 Au12'
_cell_length_a 4.9237
_cell_length_b 4.9237
_cell_length_c 26.9388
_cell_angle_alpha 90.00
_cell_angle_beta 90.00
_cell_angle_gamma 120.00
_symmetry_space_group_name_H-M 'R -3 m'
_symmetry_Int_Tables_number 166
_symmetry_space_group_name_Hall '-R 3 2"'
loop_
_atom_site_label
_atom_site_fract_x
_atom_site_fract_y
_atom_site_fract_z
La1 0.0000 0.0000 0.0000
Tm1 0.0000 0.0000 0.2369
In1 0.0000 0.0000 0.5000
Au1 0.0000 0.0000 0.1197
Au2 0.0000 0.0000 0.3896

# 10
# Li5Pu2Zn12 | Alexandria via LeMat-Bulk | GGA-PBE | relaxed
# calculated formation energy: -0.144 eV per atom
# uncorrected energy: -2.9607 eV per atom
data_Li5Pu2Zn12
_chemical_formula_sum 'Li15 Pu6 Zn36'
_cell_length_a 9.0533
_cell_length_b 9.0533
_cell_length_c 13.1429
_cell_angle_alpha 90.00
_cell_angle_beta 90.00
_cell_angle_gamma 120.00
_symmetry_space_group_name_H-M 'R -3 m'
_symmetry_Int_Tables_number 166
_symmetry_space_group_name_Hall '-R 3 2"'
loop_
_atom_site_label
_atom_site_fract_x
_atom_site_fract_y
_atom_site_fract_z
Li1 0.0000 0.0000 0.0987
Li2 0.0000 0.5000 0.5000
Pu1 0.0000 0.0000 0.3512
Zn1 0.0000 0.2962 0.0000
Zn2 0.0011 0.5006 0.8488

# 11
# Zr3Pd4Au2 | Alexandria via LeMat-Bulk | GGA-PBE | relaxed
# calculated formation energy: -0.663 eV per atom
# uncorrected energy: -6.5486 eV per atom
data_Zr3Pd4Au2
_chemical_formula_sum 'Zr12 Pd16 Au8'
_cell_length_a 13.297
_cell_length_b 9.929
_cell_length_c 5.003
_cell_angle_alpha 90.00
_cell_angle_beta 100.10
_cell_angle_gamma 90.00
_symmetry_space_group_name_H-M 'C 1 2/c 1'
_symmetry_Int_Tables_number 15
loop_
_symmetry_equiv_pos_as_xyz
'x,y,z'
'-x,-y,-z'
'-x,y,-z+1/2'
'x,-y,z+1/2'
'x+1/2,y+1/2,z'
'-x+1/2,-y+1/2,-z'
'-x+1/2,y+1/2,-z+1/2'
'x+1/2,-y+1/2,z+1/2'
loop_
_atom_site_label
_atom_site_fract_x
_atom_site_fract_y
_atom_site_fract_z
Zr1 0.000 0.133 0.250
Zr2 0.167 0.379 0.087
Pd1 0.056 0.379 0.529
Pd2 0.222 0.128 0.360
Au1 0.112 0.126 0.805

# 12
# CaTeI2N | Alexandria via LeMat-Bulk | GGA-PBE | relaxed
# polymorph energy (0 for the lowest one): 0.0 meV per atom
# uncorrected energy: -3.1826 eV per atom
# raw formation energy: 0.1312 eV/atom
data_CaTeI2N
_chemical_formula_sum 'Ca1 Te1 I2 N1'
_cell_length_a 4.979
_cell_length_b 4.979
_cell_length_c 5.270
_cell_angle_alpha 90.00
_cell_angle_beta 90.00
_cell_angle_gamma 90.00
_symmetry_space_group_name_H-M 'P 4/m m m'
_symmetry_Int_Tables_number 123
_symmetry_space_group_name_Hall '-P 4 2'
loop_
_atom_site_label
_atom_site_fract_x
_atom_site_fract_y
_atom_site_fract_z
Ca1 0.000 0.000 0.000
Te1 0.500 0.500 0.000
I1 0.000 0.500 0.500
N1 0.500 0.500 0.500